(1)
# AsPBr2O, relaxed, DFT PBE-GGA
data_AsPBr2O
_chemical_formula_sum 'As1 P1 Br2 O1'
_symmetry_space_group_name_H-M 'P 4/m m m'
_symmetry_Int_Tables_number 123
_symmetry_space_group_name_Hall '-P 4 2'
_cell_length_a 4.763
_cell_length_b 4.763
_cell_length_c 4.330
_cell_angle_alpha 90.00
_cell_angle_beta 90.00
_cell_angle_gamma 90.00
loop_
_atom_site_label
_atom_site_type_symbol
_atom_site_fract_x
_atom_site_fract_y
_atom_site_fract_z
_atom_site_occupancy
As1 As 0.000 0.000 0.000 1
P1 P 0.500 0.500 0.000 1
Br1 Br 0.000 0.500 0.500 1
O1 O 0.000 0.000 0.500 1
# Total magnetic moment   0.0 μB/f.u.
# Crystal system   tetragonal

(2)
# AsPBr2O, relaxed, DFT PBE-GGA
data_AsPBr2O
_chemical_formula_sum 'As1 P1 Br2 O1'
_symmetry_space_group_name_H-M 'P 4/m m m'
_symmetry_Int_Tables_number 123
_symmetry_space_group_name_Hall '-P 4 2'
_cell_length_a 4.860
_cell_length_b 4.860
_cell_length_c 5.030
_cell_angle_alpha 90.00
_cell_angle_beta 90.00
_cell_angle_gamma 90.00
loop_
_atom_site_label
_atom_site_type_symbol
_atom_site_fract_x
_atom_site_fract_y
_atom_site_fract_z
_atom_site_occupancy
As1 As 0.000 0.000 0.000 1
P1 P 0.000 0.000 0.500 1
Br1 Br 0.000 0.500 0.500 1
O1 O 0.500 0.500 0.000 1
# Total magnetic moment   0.0 μB/f.u.
# Crystal system   tetragonal

(1) wins, 0.103 eV/atom ahead of the next structure.

(1)
# As2PBrO, relaxed, DFT PBE-GGA
data_As2PBrO
_chemical_formula_sum 'As2 P1 Br1 O1'
_symmetry_space_group_name_H-M 'P 4/m m m'
_symmetry_Int_Tables_number 123
_symmetry_space_group_name_Hall '-P 4 2'
_cell_length_a 4.444
_cell_length_b 4.444
_cell_length_c 4.607
_cell_angle_alpha 90.00
_cell_angle_beta 90.00
_cell_angle_gamma 90.00
loop_
_atom_site_label
_atom_site_type_symbol
_atom_site_fract_x
_atom_site_fract_y
_atom_site_fract_z
_atom_site_occupancy
As1 As 0.000 0.500 0.000 1
P1 P 0.000 0.000 0.500 1
Br1 Br 0.500 0.500 0.500 1
O1 O 0.500 0.500 0.000 1
# Total magnetic moment   0.0 μB/f.u.
# Crystal system   tetragonal

(2)
# As2PBrO, relaxed, DFT PBE-GGA
data_As2PBrO
_chemical_formula_sum 'As2 P1 Br1 O1'
_symmetry_space_group_name_H-M 'P 4/m m m'
_symmetry_Int_Tables_number 123
_symmetry_space_group_name_Hall '-P 4 2'
_cell_length_a 4.829
_cell_length_b 4.829
_cell_length_c 4.948
_cell_angle_alpha 90.00
_cell_angle_beta 90.00
_cell_angle_gamma 90.00
loop_
_atom_site_label
_atom_site_type_symbol
_atom_site_fract_x
_atom_site_fract_y
_atom_site_fract_z
_atom_site_occupancy
As1 As 0.000 0.500 0.000 1
P1 P 0.000 0.000 0.000 1
Br1 Br 0.000 0.000 0.500 1
O1 O 0.500 0.500 0.500 1
# Total magnetic moment   0.5 μB/f.u.
# Crystal system   tetragonal

(1) wins, 0.320 eV/atom ahead of the next structure.

(1)
# As2PbBrO, relaxed, DFT PBE-GGA
data_As2PbBrO
_chemical_formula_sum 'As2 Pb1 Br1 O1'
_symmetry_space_group_name_H-M 'P 4/m m m'
_symmetry_Int_Tables_number 123
_symmetry_space_group_name_Hall '-P 4 2'
_cell_length_a 4.264
_cell_length_b 4.264
_cell_length_c 6.360
_cell_angle_alpha 90.00
_cell_angle_beta 90.00
_cell_angle_gamma 90.00
loop_
_atom_site_label
_atom_site_type_symbol
_atom_site_fract_x
_atom_site_fract_y
_atom_site_fract_z
_atom_site_occupancy
As1 As 0.000 0.500 0.000 1
Pb1 Pb 0.000 0.000 0.500 1
Br1 Br 0.500 0.500 0.500 1
O1 O 0.500 0.500 0.000 1
# Total magnetic moment   0.0 μB/f.u.
# Crystal system   tetragonal

(2)
# As2PbBrO, relaxed, DFT PBE-GGA
data_As2PbBrO
_chemical_formula_sum 'As2 Pb1 Br1 O1'
_symmetry_space_group_name_H-M 'P 4/m m m'
_symmetry_Int_Tables_number 123
_symmetry_space_group_name_Hall '-P 4 2'
_cell_length_a 5.610
_cell_length_b 5.610
_cell_length_c 5.874
_cell_angle_alpha 90.00
_cell_angle_beta 90.00
_cell_angle_gamma 90.00
loop_
_atom_site_label
_atom_site_type_symbol
_atom_site_fract_x
_atom_site_fract_y
_atom_site_fract_z
_atom_site_occupancy
As1 As 0.000 0.500 0.000 1
Pb1 Pb 0.000 0.000 0.000 1
Br1 Br 0.000 0.000 0.500 1
O1 O 0.500 0.500 0.500 1
# Total magnetic moment   4.5 μB/f.u.
# Crystal system   tetragonal

(1) wins, 1.181 eV/atom ahead of the next structure.

(1)
# ReAs2BrO, relaxed, DFT PBE-GGA
data_ReAs2BrO
_chemical_formula_sum 'Re1 As2 Br1 O1'
_symmetry_space_group_name_H-M 'P 4/m m m'
_symmetry_Int_Tables_number 123
_symmetry_space_group_name_Hall '-P 4 2'
_cell_length_a 4.732
_cell_length_b 4.732
_cell_length_c 5.383
_cell_angle_alpha 90.00
_cell_angle_beta 90.00
_cell_angle_gamma 90.00
loop_
_atom_site_label
_atom_site_type_symbol
_atom_site_fract_x
_atom_site_fract_y
_atom_site_fract_z
_atom_site_occupancy
Re1 Re 0.000 0.000 0.000 1
As1 As 0.000 0.500 0.000 1
Br1 Br 0.000 0.000 0.500 1
O1 O 0.500 0.500 0.500 1
# Total magnetic moment   1.5 μB/f.u.
# Crystal system   tetragonal

(2)
# ReAs2BrO, relaxed, DFT PBE-GGA
data_ReAs2BrO
_chemical_formula_sum 'Re1 As2 Br1 O1'
_symmetry_space_group_name_H-M 'P 4/m m m'
_symmetry_Int_Tables_number 123
_symmetry_space_group_name_Hall '-P 4 2'
_cell_length_a 4.083
_cell_length_b 4.083
_cell_length_c 5.318
_cell_angle_alpha 90.00
_cell_angle_beta 90.00
_cell_angle_gamma 90.00
loop_
_atom_site_label
_atom_site_type_symbol
_atom_site_fract_x
_atom_site_fract_y
_atom_site_fract_z
_atom_site_occupancy
Re1 Re 0.000 0.000 0.000 1
As1 As 0.000 0.500 0.500 1
Br1 Br 0.500 0.500 0.000 1
O1 O 0.500 0.500 0.500 1
# Total magnetic moment   2.0 μB/f.u.
# Crystal system   tetragonal

(1) wins, 0.091 eV/atom ahead of the next structure.

(1)
# AsRhBr2O, relaxed, DFT PBE-GGA
data_AsRhBr2O
_chemical_formula_sum 'As1 Rh1 Br2 O1'
_symmetry_space_group_name_H-M 'P 4/m m m'
_symmetry_Int_Tables_number 123
_symmetry_space_group_name_Hall '-P 4 2'
_cell_length_a 5.048
_cell_length_b 5.048
_cell_length_c 4.694
_cell_angle_alpha 90.00
_cell_angle_beta 90.00
_cell_angle_gamma 90.00
loop_
_atom_site_label
_atom_site_type_symbol
_atom_site_fract_x
_atom_site_fract_y
_atom_site_fract_z
_atom_site_occupancy
As1 As 0.000 0.000 0.000 1
Rh1 Rh 0.000 0.000 0.500 1
Br1 Br 0.000 0.500 0.500 1
O1 O 0.500 0.500 0.000 1
# Total magnetic moment   0.0 μB/f.u.
# Crystal system   tetragonal

(2)
# AsRhBr2O, relaxed, DFT PBE-GGA
data_AsRhBr2O
_chemical_formula_sum 'As1 Rh1 Br2 O1'
_symmetry_space_group_name_H-M 'P 4/m m m'
_symmetry_Int_Tables_number 123
_symmetry_space_group_name_Hall '-P 4 2'
_cell_length_a 4.735
_cell_length_b 4.735
_cell_length_c 4.221
_cell_angle_alpha 90.00
_cell_angle_beta 90.00
_cell_angle_gamma 90.00
loop_
_atom_site_label
_atom_site_type_symbol
_atom_site_fract_x
_atom_site_fract_y
_atom_site_fract_z
_atom_site_occupancy
As1 As 0.000 0.000 0.000 1
Rh1 Rh 0.500 0.500 0.000 1
Br1 Br 0.000 0.500 0.500 1
O1 O 0.000 0.000 0.500 1
# Total magnetic moment   0.9 μB/f.u.
# Crystal system   tetragonal

(1) wins, 0.014 eV/atom ahead of the next structure.

(1)
# AsRuBr2O, relaxed, DFT PBE-GGA
data_AsRuBr2O
_chemical_formula_sum 'As1 Ru1 Br2 O1'
_symmetry_space_group_name_H-M 'P 4/m m m'
_symmetry_Int_Tables_number 123
_symmetry_space_group_name_Hall '-P 4 2'
_cell_length_a 4.718
_cell_length_b 4.718
_cell_length_c 4.264
_cell_angle_alpha 90.00
_cell_angle_beta 90.00
_cell_angle_gamma 90.00
loop_
_atom_site_label
_atom_site_type_symbol
_atom_site_fract_x
_atom_site_fract_y
_atom_site_fract_z
_atom_site_occupancy
As1 As 0.000 0.000 0.000 1
Ru1 Ru 0.500 0.500 0.000 1
Br1 Br 0.000 0.500 0.500 1
O1 O 0.000 0.000 0.500 1
# Total magnetic moment   2.2 μB/f.u.
# Crystal system   tetragonal

(2)
# AsRuBr2O, relaxed, DFT PBE-GGA
data_AsRuBr2O
_chemical_formula_sum 'As1 Ru1 Br2 O1'
_symmetry_space_group_name_H-M 'P 4/m m m'
_symmetry_Int_Tables_number 123
_symmetry_space_group_name_Hall '-P 4 2'
_cell_length_a 5.110
_cell_length_b 5.110
_cell_length_c 4.651
_cell_angle_alpha 90.00
_cell_angle_beta 90.00
_cell_angle_gamma 90.00
loop_
_atom_site_label
_atom_site_type_symbol
_atom_site_fract_x
_atom_site_fract_y
_atom_site_fract_z
_atom_site_occupancy
As1 As 0.000 0.000 0.000 1
Ru1 Ru 0.000 0.000 0.500 1
Br1 Br 0.000 0.500 0.500 1
O1 O 0.500 0.500 0.000 1
# Total magnetic moment   0.5 μB/f.u.
# Crystal system   tetragonal

(2) wins, 0.165 eV/atom ahead of the next structure.